{"formula": "Th4SnAs2P", "functional": "PBE", "state": "optimized geometry", "lattice_angstrom": [[7.436, 0.000, 0.000], [0.000, 4.293, 0.000], [-2.481, 0.000, 7.048]], "species": ["Th", "Th", "Th", "Th", "Sn", "As", "As", "P"], "fractional_positions": [[0.242, 0.000, 0.233], [0.252, 0.500, 0.764], [0.748, 0.500, 0.236], [0.758, 0.000, 0.767], [0.500, 0.500, 0.500], [0.000, 0.000, 0.500], [0.000, 0.500, 0.000], [0.500, 0.000, 0.000]], "mass_density_g_cm3": 9.06, "total_magnetization_mub_per_cell": 0.0, "ef_ev_per_atom": -1.161, "space_group": "P2/m, No. 10", "volume_a3_per_fu": 225.0}